No. 1
# Sc2ReHg (PBE, optimized geometry)
data_Sc2ReHg
_symmetry_space_group_name_H-M 'P 1 2/m 1'
_symmetry_Int_Tables_number 10
_symmetry_space_group_name_Hall '-P 2y'
_cell_length_a 3.2955
_cell_length_b 3.3489
_cell_length_c 7.0843
_cell_angle_alpha 90.00
_cell_angle_beta 90.05
_cell_angle_gamma 90.00
loop_
_atom_site_label
_atom_site_type_symbol
_atom_site_fract_x
_atom_site_fract_y
_atom_site_fract_z
_atom_site_occupancy
Sc1 Sc 0.0023 0.0000 0.2835 1
Re1 Re 0.5000 0.5000 0.5000 1
Hg1 Hg 0.5000 0.5000 0.0000 1
# Raw total energy, eV/atom: -6.61
# Magnetization, μB per cell: 0.00

***

No. 2
# BPtI2 (PBE, optimized geometry)
data_BPtI2
_symmetry_space_group_name_H-M 'I -4 2 d'
_symmetry_Int_Tables_number 122
_symmetry_space_group_name_Hall 'I -4 2bw'
_cell_length_a 5.7486
_cell_length_b 5.7486
_cell_length_c 12.5682
_cell_angle_alpha 90.00
_cell_angle_beta 90.00
_cell_angle_gamma 90.00
loop_
_atom_site_label
_atom_site_type_symbol
_atom_site_fract_x
_atom_site_fract_y
_atom_site_fract_z
_atom_site_occupancy
B1 B 0.0000 0.0000 0.0000 1
Pt1 Pt 0.0000 0.0000 0.5000 1
I1 I 0.2153 0.2500 0.1250 1
# Raw total energy, eV/atom: -2.96
# E_form (uncorrected), eV per atom: 0.996
# Magnetization, μB per cell: 0.00

***

No. 3
# Y3ErTe3 (PBE, optimized geometry)
data_Y3ErTe3
_symmetry_space_group_name_H-M 'R -3'
_symmetry_Int_Tables_number 148
_symmetry_space_group_name_Hall '-R 3'
_cell_length_a 8.9462
_cell_length_b 8.9462
_cell_length_c 17.7839
_cell_angle_alpha 90.00
_cell_angle_beta 90.00
_cell_angle_gamma 120.00
loop_
_atom_site_label
_atom_site_type_symbol
_atom_site_fract_x
_atom_site_fract_y
_atom_site_fract_z
_atom_site_occupancy
Y1 Y 0.0075 0.7587 0.4148 1
Er1 Er 0.0000 0.0000 0.1879 1
Te1 Te 0.0193 0.6170 0.5812 1
# Raw total energy, eV/atom: -5.78
# E_form (uncorrected), eV per atom: -1.016
# Magnetization, μB per cell: 0.00

***

No. 4
# BaLuInAg (PBE, optimized geometry)
data_BaLuInAg
_symmetry_space_group_name_H-M 'F -4 3 m'
_symmetry_Int_Tables_number 216
_symmetry_space_group_name_Hall 'F -4 2 3'
_cell_length_a 7.8368
_cell_length_b 7.8368
_cell_length_c 7.8368
_cell_angle_alpha 90.00
_cell_angle_beta 90.00
_cell_angle_gamma 90.00
loop_
_atom_site_label
_atom_site_type_symbol
_atom_site_fract_x
_atom_site_fract_y
_atom_site_fract_z
_atom_site_occupancy
Ba1 Ba 0.0000 0.0000 0.0000 1
Lu1 Lu 0.0000 0.0000 0.5000 1
In1 In 0.2500 0.2500 0.2500 1
Ag1 Ag 0.2500 0.2500 0.7500 1
# Raw total energy, eV/atom: -3.18
# Magnetization, μB per cell: 0.00

***

No. 5
# CaPdW3 (PBE, optimized geometry)
data_CaPdW3
_symmetry_space_group_name_H-M 'P m -3 m'
_symmetry_Int_Tables_number 221
_symmetry_space_group_name_Hall '-P 4 2 3'
_cell_length_a 4.8416
_cell_length_b 4.8416
_cell_length_c 4.8416
_cell_angle_alpha 90.00
_cell_angle_beta 90.00
_cell_angle_gamma 90.00
loop_
_atom_site_label
_atom_site_type_symbol
_atom_site_fract_x
_atom_site_fract_y
_atom_site_fract_z
_atom_site_occupancy
Ca1 Ca 0.0000 0.0000 0.0000 1
Pd1 Pd 0.5000 0.5000 0.5000 1
W1 W 0.0000 0.5000 0.5000 1
# Raw total energy, eV/atom: -7.21
# Magnetization, μB per cell: 0.00

***

No. 6
# K2ScTiO4 (PBE, optimized geometry)
data_K2ScTiO4
_symmetry_space_group_name_H-M 'I -4'
_symmetry_Int_Tables_number 82
_symmetry_space_group_name_Hall 'I -4'
_cell_length_a 6.0114
_cell_length_b 6.0114
_cell_length_c 7.6338
_cell_angle_alpha 90.00
_cell_angle_beta 90.00
_cell_angle_gamma 90.00
loop_
_atom_site_label
_atom_site_type_symbol
_atom_site_fract_x
_atom_site_fract_y
_atom_site_fract_z
_atom_site_occupancy
K1 K 0.0000 0.0000 0.0000 1
K2 K 0.0000 0.5000 0.2500 1
Sc1 Sc 0.0000 0.5000 0.7500 1
Ti1 Ti 0.0000 0.0000 0.5000 1
O1 O 0.1340 0.2596 0.6026 1
# Raw total energy, eV/atom: -7.04
# E_form (uncorrected), eV per atom: -2.505
# Magnetization, μB per cell: 1.98